# Li3MnAs (GGA-PBE, relaxed)
data_Li3MnAs
_chemical_formula_sum 'Li3 Mn1 As1'
_space_group_name_H-M_alt 'P m -3 m'
_space_group_IT_number 221
_space_group_name_Hall '-P 4 2 3'
_cell_length_a 4.700
_cell_length_b 4.700
_cell_length_c 4.700
_cell_angle_alpha 90.00
_cell_angle_beta 90.00
_cell_angle_gamma 90.00
loop_
_atom_site_label
_atom_site_type_symbol
_atom_site_fract_x
_atom_site_fract_y
_atom_site_fract_z
Li1 Li 0.000 0.000 0.500
Mn1 Mn 0.000 0.000 0.000
As1 As 0.500 0.500 0.500
# E: -0.2389 Ry per atom
# volume: 20.76 A^3/atom
# DOS(E_F): 2.77 states/eV per cell
# energy above the most stable polymorph in this dataset: 0.532 eV/atom